P.
VASP calculation (GGA-PBEsol) on LaZr2Tc after structural relaxation.

Output
Total magnetic moment ... 0.00 μB per cell
Mass density ... 8.61 Mg/m³
Space group ... I4/mmm, No. 139
V ... 20.23 Å³/atom

abc: 4.867 4.867 4.867
angles: 120.48 120.48 89.17
Atoms (fractional coordinates):
La1 0.000 0.000 0.000
Zr1 0.250 0.750 0.500
Zr2 0.750 0.250 0.500
Tc1 0.500 0.500 0.000

***

Q.
VASP calculation (GGA-PBEsol) on LaZr2Tc after structural relaxation.

Output
Total magnetic moment ... 0.00 μB per cell
Mass density ... 7.86 Mg/m³
Space group ... P4/mmm, No. 123
V ... 22.14 Å³/atom

abc: 3.289 3.289 8.187
angles: 90.00 90.00 90.00
Atoms (fractional coordinates):
La1 0.000 0.000 0.000
Zr1 0.500 0.500 0.312
Zr2 0.500 0.500 0.688
Tc1 0.000 0.000 0.500

***

R.
VASP calculation (GGA-PBEsol) on LaZr2Tc after structural relaxation.

Output
Total magnetic moment ... 0.00 μB per cell
Mass density ... 7.96 Mg/m³
Space group ... Cm, No. 8
V ... 21.87 Å³/atom

abc: 5.810 5.810 5.082
angles: 114.06 114.06 34.32
Atoms (fractional coordinates):
La1 0.000 0.000 0.000
Zr1 0.574 0.574 0.573
Zr2 0.780 0.780 0.277
Tc1 0.272 0.272 0.717

***

Q is the most stable structure shown above.